No. 1
## GeH3Cl (GGA-PBE)

Data for crystalline GeH3Cl at its relaxed geometry.

Results
The value obtained for the distance to the lowest polymorph of the same formula is 8 meV/atom. The calculation puts the electronic total energy at -3.49 eV per atom. The density of states at the Fermi level comes out at 0.0 states/eV per cell.

extended XYZ file:
```
10
Lattice="3.609 2.083 3.892 -3.609 2.083 3.892 0.000 -4.167 3.892" Properties=species:S:1:pos:R:3 pbc="T T T"
Ge 0.000 0.000 0.000
Ge 0.000 0.000 5.837
H -2.354 -1.306 8.181
H -0.046 -1.475 6.235
H -1.254 0.778 6.235
H 1.300 0.697 6.235
H 2.308 -1.386 8.181
H 0.046 2.692 8.181
Cl 0.000 0.000 3.634
Cl 0.000 0.000 9.471
```

***

No. 2
## LiMg2Zn9 (GGA-PBE)

Data for crystalline LiMg2Zn9 at its relaxed geometry.

Results
The value obtained for the distance to the lowest polymorph of the same formula is 0 meV/atom. The calculation puts the electronic total energy at -1.49 eV per atom. The density of states at the Fermi level comes out at 2.4 states/eV per cell. For the energy of formation, the calculation gives -121 kJ/mol of formula units.

extended XYZ file:
```
12
Lattice="2.591 1.496 8.516 -2.591 1.496 8.516 0.000 -2.992 8.516" Properties=species:S:1:pos:R:3 pbc="T T T"
Li 0.000 0.000 0.000
Mg 0.000 0.000 3.641
Mg 0.000 0.000 21.908
Zn -1.311 -0.757 10.667
Zn 0.000 0.000 8.525
Zn 0.000 -1.514 14.882
Zn -1.311 0.757 14.882
Zn 0.000 0.000 12.775
Zn 1.311 -0.757 10.667
Zn 0.000 1.514 10.667
Zn 0.000 0.000 17.024
Zn 1.311 0.757 14.882
```

***

No. 3
## NaAg2Sb (GGA-PBE)

Data for crystalline NaAg2Sb at its relaxed geometry.

Results
The calculation puts the electronic total energy at -2.79 eV per atom. The density of states at the Fermi level comes out at 2.5 states/eV per cell. The calculation puts the uncorrected formation energy at -3 kJ/mol of formula units.

extended XYZ file:
```
8
Lattice="4.197 0.000 0.000 0.000 4.197 0.000 0.000 0.000 10.847" Properties=species:S:1:pos:R:3 pbc="T T T"
Na 1.049 1.049 2.369
Na 3.148 3.148 8.478
Ag 1.049 1.049 10.228
Ag 1.049 3.148 5.424
Ag 3.148 1.049 5.424
Ag 3.148 3.148 0.619
Sb 1.049 1.049 7.354
Sb 3.148 3.148 3.493
```

***

No. 4
## La4TlOs (GGA-PBE)

Data for crystalline La4TlOs at its relaxed geometry.

Results
The value obtained for the distance to the lowest polymorph of the same formula is 981 meV/atom. The calculation puts the electronic total energy at -4.83 eV per atom. The density of states at the Fermi level comes out at 10.6 states/eV per cell. For the energy of formation, the calculation gives 415 kJ/mol of formula units.

extended XYZ file:
```
6
Lattice="0.000 4.421 4.421 4.421 0.000 4.421 4.421 4.421 0.000" Properties=species:S:1:pos:R:3 pbc="T T T"
La 1.091 1.091 1.091
La 3.329 3.329 1.091
La 3.329 1.091 3.329
La 1.091 3.329 3.329
Tl 4.421 4.421 4.421
Os 6.631 6.631 6.631
```

***

No. 5
## VPdRhSe2 (GGA-PBE)

Data for crystalline VPdRhSe2 at its relaxed geometry.

Results
The calculation puts the electronic total energy at -4.63 eV per atom. The density of states at the Fermi level comes out at 9.4 states/eV per cell. The calculation puts the uncorrected formation energy at 530 kJ/mol of formula units.

extended XYZ file:
```
5
Lattice="4.789 0.000 0.000 0.000 4.789 0.000 0.000 0.000 4.814" Properties=species:S:1:pos:R:3 pbc="T T T"
V 0.000 0.000 0.000
Pd 2.394 2.394 2.407
Rh 2.394 2.394 0.000
Se 0.000 2.394 2.407
Se 2.394 0.000 2.407
```

***

No. 6
## La2NpAgS5 (GGA-PBE)

Data for crystalline La2NpAgS5 at its relaxed geometry.

Results
The calculation puts the electronic total energy at -6.72 eV per atom. The density of states at the Fermi level comes out at 20.0 states/eV per cell. The calculation puts the uncorrected formation energy at -1366 kJ/mol of formula units.

extended XYZ file:
```
18
Lattice="2.023 -8.369 0.000 2.023 8.369 0.000 0.000 0.000 12.271" Properties=species:S:1:pos:R:3 pbc="T T T"
La 2.023 6.461 6.136
La 2.023 6.264 1.455
La 2.023 -6.264 7.591
La 2.023 -6.461 0.000
Np 2.023 5.127 10.047
Np 2.023 -5.127 3.912
Ag 2.023 0.403 3.477
Ag 2.023 -0.403 9.613
S 2.023 7.600 10.973
S 2.023 3.486 5.799
S 2.023 3.264 1.982
S 2.023 2.387 9.996
S 2.023 0.011 7.198
S 2.023 -0.011 1.062
S 2.023 -2.387 3.860
S 2.023 -3.264 8.117
S 2.023 -3.486 11.934
S 2.023 -7.600 4.838
```

***

No. 7
## ZnCr (GGA-PBE)

Data for crystalline ZnCr at its relaxed geometry.

Results
The calculation puts the electronic total energy at -5.29 eV per atom. The density of states at the Fermi level comes out at 9.8 states/eV per cell. For the energy of formation, the calculation gives 30 kJ/mol of formula units.

extended XYZ file:
```
16
Lattice="8.576 0.000 0.000 0.000 2.971 0.000 0.000 0.000 8.255" Properties=species:S:1:pos:R:3 pbc="T T T"
Zn 0.992 0.743 2.032
Zn 1.114 2.228 8.116
Zn 3.174 0.743 3.989
Zn 3.296 2.228 6.159
Zn 5.280 0.743 2.096
Zn 5.402 2.228 4.266
Zn 7.462 0.743 0.138
Zn 7.584 2.228 6.223
Cr 1.004 2.228 4.264
Cr 1.151 0.743 5.920
Cr 3.137 2.228 1.793
Cr 3.284 0.743 0.137
Cr 5.293 2.228 8.118
Cr 5.439 0.743 6.462
Cr 7.425 2.228 2.335
Cr 7.572 0.743 3.991
```

***

No. 8
## Ce6Si2Pd (GGA-PBE)

Data for crystalline Ce6Si2Pd at its relaxed geometry.

Results
The calculation puts the electronic total energy at -6.20 eV per atom. The density of states at the Fermi level comes out at 23.1 states/eV per cell. The calculation puts the uncorrected formation energy at -401 kJ/mol of formula units.

extended XYZ file:
```
9
Lattice="8.108 0.000 0.000 -4.054 7.021 0.000 0.000 0.000 3.876" Properties=species:S:1:pos:R:3 pbc="T T T"
Ce -1.098 1.901 0.000
Ce -2.298 3.980 1.938
Ce 2.196 0.000 0.000
Ce 1.756 3.041 1.938
Ce 4.596 0.000 1.938
Ce 2.956 5.120 0.000
Si 0.000 4.681 0.000
Si 4.054 2.340 0.000
Pd 0.000 0.000 1.938
```

***

No. 9
## Cs3RbSe2 (GGA-PBE)

Data for crystalline Cs3RbSe2 at its relaxed geometry.

Results
The value obtained for the distance to the lowest polymorph of the same formula is 0 meV/atom. The calculation puts the electronic total energy at -2.79 eV per atom. The density of states at the Fermi level comes out at 0.0 states/eV per cell. The calculation puts the uncorrected formation energy at -602 kJ/mol of formula units.

extended XYZ file:
```
12
Lattice="5.545 0.000 0.000 0.000 10.955 0.000 0.000 0.000 8.957" Properties=species:S:1:pos:R:3 pbc="T T T"
Cs 0.000 0.855 0.000
Cs 0.000 3.620 3.378
Cs 0.000 7.336 7.857
Cs 0.000 10.100 4.478
Cs 2.773 1.915 5.958
Cs 2.773 9.041 1.480
Rb 2.773 4.441 0.305
Rb 2.773 6.514 4.783
Se 0.000 3.915 7.026
Se 0.000 7.040 2.547
Se 2.773 1.573 2.352
Se 2.773 9.383 6.830
```

***

No. 10
## HfP2SeCl (GGA-PBE)

Data for crystalline HfP2SeCl at its relaxed geometry.

Results
The value obtained for the distance to the lowest polymorph of the same formula is 595 meV/atom. The calculation puts the electronic total energy at -4.52 eV per atom. The density of states at the Fermi level comes out at 1.6 states/eV per cell. The calculation puts the uncorrected formation energy at 340 kJ/mol of formula units.

extended XYZ file:
```
5
Lattice="4.839 0.000 0.000 0.000 4.839 0.000 0.000 0.000 4.498" Properties=species:S:1:pos:R:3 pbc="T T T"
Hf 0.000 0.000 0.000
P 0.000 2.419 2.249
P 2.419 0.000 2.249
Se 2.419 2.419 2.249
Cl 2.419 2.419 0.000
```

***

No. 11
## Pu2CuSi3Pt4 (GGA-PBE)

Data for crystalline Pu2CuSi3Pt4 at its relaxed geometry.

Results
The calculation puts the electronic total energy at -8.11 eV per atom. The density of states at the Fermi level comes out at 27.2 states/eV per cell. The calculation puts the uncorrected formation energy at -767 kJ/mol of formula units.

extended XYZ file:
```
10
Lattice="4.195 0.000 0.000 0.000 4.195 0.000 0.000 0.000 10.080" Properties=species:S:1:pos:R:3 pbc="T T T"
Pu 0.000 2.097 2.416
Pu 2.097 0.000 7.665
Cu 2.097 2.097 0.000
Si 0.000 0.000 0.000
Si 0.000 2.097 6.363
Si 2.097 0.000 3.717
Pt 0.000 0.000 5.040
Pt 0.000 2.097 8.719
Pt 2.097 0.000 1.361
Pt 2.097 2.097 5.040
```

***

No. 12
## HoSi2NiPt4 (GGA-PBE)

Data for crystalline HoSi2NiPt4 at its relaxed geometry.

Results
The calculation puts the electronic total energy at -6.24 eV per atom. The density of states at the Fermi level comes out at 4.0 states/eV per cell. The calculation puts the uncorrected formation energy at -440 kJ/mol of formula units.

extended XYZ file:
```
8
Lattice="3.966 0.000 0.000 0.000 3.966 0.000 0.000 0.000 9.152" Properties=species:S:1:pos:R:3 pbc="T T T"
Ho 0.000 0.000 0.000
Si 1.983 1.983 3.451
Si 1.983 1.983 5.701
Ni 0.000 0.000 4.576
Pt 0.000 1.983 2.184
Pt 0.000 1.983 6.968
Pt 1.983 0.000 2.184
Pt 1.983 0.000 6.968
```